1.
Below is Ba2RuBr after structural relaxation, with properties calculated at the GGA-PBE level.

a = 6.4172 Å, b = 6.4172 Å, c = 5.3507 Å
α = 90.00°, β = 90.00°, γ = 35.59°
Closest atoms and distances in Å follow each position.
Fractional coordinates of all 4 atoms:
Ru: 0.2420 0.2420 0.1249  1 Ba 2.71
Ba: 0.0200 0.0200 0.1250  1 Ru 2.71
Ba: 0.7524 0.7524 0.6250  3 Br 3.26-3.46, 4 Ru 3.32
Br: 0.4856 0.4856 0.6250  7 Ba 3.26-3.46

Output
E_form (uncorrected): -0.3392 eV per atom
Total moment: 0.4 μB/cell
DOS(E_F): 0.8995 states/eV/atom
Calculated total energy: -0.2968 Ry/atom


2.
Below is BaRu2Br after structural relaxation, with properties calculated at the GGA-PBE level.

a = 6.5295 Å, b = 6.5295 Å, c = 6.5295 Å
α = 142.84°, β = 142.84°, γ = 53.57°
Closest atoms and distances in Å follow each position.
Fractional coordinates of all 4 atoms:
Ru: 0.0000 0.0000 0.0000  4 Ru 2.94
Ru: 0.5000 0.5000 0.0000  4 Ru 2.94
Ba: 0.2500 0.7500 0.5000  4 Br 2.94
Br: 0.7500 0.2500 0.5000  4 Ba 2.94

Output
E_form (uncorrected): 0.7557 eV per atom
Total moment: 3.9 μB/cell
DOS(E_F): 1.1753 states/eV/atom
Calculated total energy: -0.3514 Ry/atom


3.
Below is BaRuBr2 after structural relaxation, with properties calculated at the GGA-PBE level.

a = 4.7119 Å, b = 4.3062 Å, c = 6.4380 Å
α = 70.50°, β = 90.00°, γ = 90.00°
Closest atoms and distances in Å follow each position.
Fractional coordinates of all 4 atoms:
Ru: 0.0000 0.3232 0.4782  3 Br 2.50-2.72
Ba: 0.5000 0.6854 0.7546  7 Br 3.31-3.56, 4 Ru 3.61
Br: 0.0000 0.0993 0.9268  1 Ru 2.72
Br: 0.5000 0.3921 0.3404  2 Ru 2.50

Output
E_form (uncorrected): -0.5028 eV per atom
Total moment: 2.0 μB/cell
DOS(E_F): 0.7418 states/eV/atom
Calculated total energy: -0.3042 Ry/atom